Below is a relaxed CrSCl2F crystal, with properties calculated at the PBE+U level.

Results
D(E_F) = 4.38 states/eV/cell
SG = No. 123
final energy = -3.6739 eV/atom

extended XYZ file:
```
5
Lattice="4.674 0.000 0.000 0.000 4.674 0.000 0.000 0.000 4.933" Properties=species:S:1:pos:R:3 pbc="T T T"
Cr 0.000 0.000 0.000
S 0.000 0.000 2.466
Cl 0.000 2.337 0.000
Cl 2.337 0.000 0.000
F 2.337 2.337 2.466
```